No. 1
First-principles (GGA-PBE) data for a relaxed structure of NaMgHg, as listed in Alexandria via LeMat-Bulk.

Cell lengths 4.5723, 4.5723, 7.7097 Å; angles 90.02, 90.02, 89.99 degrees
With the nearest neighbours (Å) after each atom.
Fractional coordinates of all 6 atoms:
Na: 0.0000 0.0000 0.0000  5 Hg 3.15-3.37
Na: 0.5008 0.5008 0.7141  5 Hg 3.15-3.37
Mg: 0.4996 0.9994 0.3564  4 Hg 2.91-2.92, 4 Mg 3.23
Mg: 0.9994 0.4996 0.3564  4 Hg 2.91-2.92, 4 Mg 3.23
Hg: 0.0006 0.0006 0.5914  4 Mg 2.91-2.92, 1 Na 3.15
Hg: 0.4999 0.4999 0.1224  4 Mg 2.91, 1 Na 3.15

- density (g/cm3) = 5.11
- VASP energy (eV/atom) = -1.234
- ΔE_f (eV/atom) = -0.162

=====

No. 2
First-principles (GGA-PBE) data for a relaxed structure of Na2Mg2Hg7, as listed in Alexandria via LeMat-Bulk.

Cell lengths 8.1620, 8.1620, 8.1620 Å; angles 143.53, 71.02, 121.41 degrees
With the nearest neighbours (Å) after each atom.
Fractional coordinates of all 11 atoms:
Na: 0.2253 0.0000 0.2253  9 Hg 3.10-3.29
Na: 0.7747 0.0000 0.7747  9 Hg 3.10-3.29
Mg: 0.2617 0.2617 0.0000  7 Hg 2.88-3.08
Mg: 0.5145 0.0145 0.5000  8 Hg 2.98-3.14, 2 Mg 3.26
Hg: 0.0747 0.6988 0.3759  3 Mg 3.01-3.08, 2 Hg 3.09-3.30, 3 Na 3.13-3.29
Hg: 0.3229 0.6988 0.6241  3 Mg 3.01-3.08, 2 Hg 3.09-3.30, 3 Na 3.13-3.29
Hg: 0.4213 0.5560 0.8653  3 Mg 2.95-3.14, 2 Na 3.19, 3 Hg 3.27-3.29
Hg: 0.6769 0.3120 0.3649  1 Mg 2.98, 5 Hg 3.09-3.27, 3 Na 3.11-3.20
Hg: 0.6906 0.5560 0.1347  3 Mg 2.95-3.14, 2 Na 3.19, 3 Hg 3.27-3.29
Hg: 0.9013 0.9013 0.0000  1 Mg 2.88, 2 Na 3.10, 4 Hg 3.20
Hg: 0.9471 0.3120 0.6351  1 Mg 2.98, 5 Hg 3.09-3.27, 3 Na 3.11-3.20

- density (g/cm3) = 9.18
- VASP energy (eV/atom) = -0.883
- ΔE_f (eV/atom) = -0.161

=====

No. 3
First-principles (GGA-PBE) data for a relaxed structure of NaMg4Hg12, as listed in Alexandria via LeMat-Bulk.

Cell lengths 8.5758, 8.5758, 8.5758 Å; angles 109.47, 109.47, 109.47 degrees
With the nearest neighbours (Å) after each atom.
Fractional coordinates of all 17 atoms:
Na: 0.0000 0.0000 0.0000  12 Hg 3.76
Mg: 0.0000 0.0000 0.5000  6 Hg 2.83
Mg: 0.0000 0.5000 0.0000  6 Hg 2.83
Mg: 0.5000 0.0000 0.0000  6 Hg 2.83
Mg: 0.5000 0.5000 0.5000  6 Hg 2.83
Hg: 0.1520 0.5000 0.3481  2 Mg 2.83, 2 Hg 3.01
Hg: 0.1520 0.8039 0.6519  2 Mg 2.83, 2 Hg 3.01
Hg: 0.1961 0.3481 0.8480  2 Mg 2.83, 2 Hg 3.01
Hg: 0.3481 0.1520 0.5000  2 Mg 2.83, 2 Hg 3.01
Hg: 0.3481 0.8480 0.1961  2 Mg 2.83, 2 Hg 3.01
Hg: 0.5000 0.3481 0.1520  2 Mg 2.83, 2 Hg 3.01
Hg: 0.5000 0.6519 0.8480  2 Mg 2.83, 2 Hg 3.01
Hg: 0.6519 0.1520 0.8039  2 Mg 2.83, 2 Hg 3.01
Hg: 0.6519 0.8480 0.5000  2 Mg 2.83, 2 Hg 3.01
Hg: 0.8039 0.6519 0.1520  2 Mg 2.83, 2 Hg 3.01
Hg: 0.8480 0.1961 0.3481  2 Mg 2.83, 2 Hg 3.01
Hg: 0.8480 0.5000 0.6519  2 Mg 2.83, 2 Hg 3.01

- density (g/cm3) = 8.64
- VASP energy (eV/atom) = -0.683
- ΔE_f (eV/atom) = -0.017

=====

No. 4
First-principles (GGA-PBE) data for a relaxed structure of Na4MgHg2, as listed in Alexandria via LeMat-Bulk.

Cell lengths 6.8566, 6.8566, 4.3132 Å; angles 90.00, 90.00, 97.87 degrees
With the nearest neighbours (Å) after each atom.
Fractional coordinates of all 7 atoms:
Na: 0.0000 0.5000 0.5000  4 Hg 3.16, 4 Na 3.42, 2 Mg 3.43
Na: 0.1862 0.1862 0.0000  5 Na 3.35-3.42, 4 Hg 3.51, 2 Mg 3.56
Na: 0.5000 0.0000 0.5000  4 Hg 3.16, 4 Na 3.42, 2 Mg 3.43
Na: 0.8138 0.8138 0.0000  5 Na 3.35-3.42, 4 Hg 3.51, 2 Mg 3.56
Mg: 0.5000 0.5000 0.5000  4 Hg 3.00
Hg: 0.2986 0.7014 0.0000  2 Mg 3.00, 4 Na 3.16
Hg: 0.7014 0.2986 0.0000  2 Mg 3.00, 4 Na 3.16

- density (g/cm3) = 4.28
- VASP energy (eV/atom) = -1.194
- ΔE_f (eV/atom) = -0.126

=====

No. 5
First-principles (GGA-PBE) data for a relaxed structure of Na2MgHg4, as listed in Alexandria via LeMat-Bulk.

Cell lengths 12.1052, 12.1052, 5.0289 Å; angles 90.00, 90.00, 164.15 degrees
With the nearest neighbours (Å) after each atom.
Fractional coordinates of all 7 atoms:
Na: 0.0760 0.9240 0.0000  6 Hg 3.22-3.31, 2 Na 3.34, 4 Mg 3.53
Na: 0.9240 0.0760 0.0000  6 Hg 3.22-3.31, 2 Na 3.34, 4 Mg 3.53
Mg: 0.5000 0.5000 0.5000  2 Hg 2.93
Hg: 0.3049 0.6951 0.0000  6 Hg 3.06-3.34, 2 Na 3.31
Hg: 0.3777 0.6223 0.5000  1 Mg 2.93, 2 Hg 3.06, 4 Na 3.22
Hg: 0.6223 0.3777 0.5000  1 Mg 2.93, 2 Hg 3.06, 4 Na 3.22
Hg: 0.6951 0.3049 0.0000  6 Hg 3.06-3.34, 2 Na 3.31

- density (g/cm3) = 7.20
- VASP energy (eV/atom) = -0.850
- ΔE_f (eV/atom) = -0.073

=====

No. 6
First-principles (GGA-PBE) data for a relaxed structure of Na12MgHg3, as listed in Alexandria via LeMat-Bulk.

Cell lengths 4.9012, 4.9012, 19.8305 Å; angles 90.00, 90.00, 90.00 degrees
With the nearest neighbours (Å) after each atom.
Fractional coordinates of all 16 atoms:
Na: 0.0000 0.0000 0.0000  8 Na 3.45, 4 Hg 3.47
Na: 0.0000 0.0000 0.2448  8 Na 3.45, 4 Hg 3.47
Na: 0.0000 0.0000 0.5000  4 Mg 3.47, 8 Na 3.60
Na: 0.0000 0.0000 0.7552  8 Na 3.45, 4 Hg 3.47
Na: 0.0000 0.5000 0.1227  4 Hg 3.44-3.45, 8 Na 3.45-3.47
Na: 0.0000 0.5000 0.3671  8 Na 3.45-3.60, 2 Hg 3.45, 2 Mg 3.60
Na: 0.0000 0.5000 0.6329  8 Na 3.45-3.60, 2 Hg 3.45, 2 Mg 3.60
Na: 0.0000 0.5000 0.8773  4 Hg 3.44-3.45, 8 Na 3.45-3.47
Na: 0.5000 0.0000 0.1227  4 Hg 3.44-3.45, 8 Na 3.45-3.47
Na: 0.5000 0.0000 0.3671  8 Na 3.45-3.60, 2 Hg 3.45, 2 Mg 3.60
Na: 0.5000 0.0000 0.6329  8 Na 3.45-3.60, 2 Hg 3.45, 2 Mg 3.60
Na: 0.5000 0.0000 0.8773  4 Hg 3.44-3.45, 8 Na 3.45-3.47
Mg: 0.5000 0.5000 0.5000  12 Na 3.47-3.60
Hg: 0.5000 0.5000 0.0000  12 Na 3.45-3.47
Hg: 0.5000 0.5000 0.2443  12 Na 3.44-3.47
Hg: 0.5000 0.5000 0.7557  12 Na 3.44-3.47

- density (g/cm3) = 3.14
- VASP energy (eV/atom) = -1.230
- ΔE_f (eV/atom) = -0.085

=====

No. 7
First-principles (GGA-PBE) data for a relaxed structure of Na2MgHg5, as listed in Alexandria via LeMat-Bulk.

Cell lengths 8.4697, 8.4697, 8.4697 Å; angles 145.06, 145.06, 50.25 degrees
With the nearest neighbours (Å) after each atom.
Fractional coordinates of all 8 atoms:
Na: 0.2491 0.2491 0.0000  8 Hg 3.20-3.22
Na: 0.7509 0.7509 0.0000  8 Hg 3.20-3.22
Mg: 0.5000 0.5000 0.0000  8 Hg 3.16
Hg: 0.0000 0.0000 0.0000  8 Hg 3.16
Hg: 0.1220 0.6220 0.5000  2 Hg 3.16, 2 Mg 3.16, 4 Na 3.20-3.22
Hg: 0.3780 0.8780 0.5000  2 Hg 3.16, 2 Mg 3.16, 4 Na 3.20-3.22
Hg: 0.6220 0.1220 0.5000  2 Hg 3.16, 2 Mg 3.16, 4 Na 3.20-3.22
Hg: 0.8780 0.3780 0.5000  2 Hg 3.16, 2 Mg 3.16, 4 Na 3.20-3.22

- density (g/cm3) = 8.99
- VASP energy (eV/atom) = -0.899
- ΔE_f (eV/atom) = -0.181

=====

No. 8
First-principles (GGA-PBE) data for a relaxed structure of Na2Mg2Hg, as listed in Alexandria via LeMat-Bulk.

Cell lengths 8.3420, 8.3420, 4.1341 Å; angles 90.00, 90.00, 90.00 degrees
With the nearest neighbours (Å) after each atom.
Fractional coordinates of all 10 atoms:
Na: 0.1544 0.3456 0.0000  6 Mg 3.15-3.24, 2 Hg 3.16
Na: 0.3456 0.8456 0.0000  6 Mg 3.15-3.24, 2 Hg 3.16
Na: 0.6544 0.1544 0.0000  6 Mg 3.15-3.24, 2 Hg 3.16
Na: 0.8456 0.6544 0.0000  6 Mg 3.15-3.24, 2 Hg 3.16
Mg: 0.1439 0.6439 0.5000  6 Na 3.15-3.24, 1 Mg 3.40
Mg: 0.3561 0.1439 0.5000  6 Na 3.15-3.24, 1 Mg 3.40
Mg: 0.6439 0.8561 0.5000  6 Na 3.15-3.24, 1 Mg 3.40
Mg: 0.8561 0.3561 0.5000  6 Na 3.15-3.24, 1 Mg 3.40
Hg: 0.0000 0.0000 0.0000  4 Na 3.16
Hg: 0.5000 0.5000 0.0000  4 Na 3.16

- density (g/cm3) = 3.41
- VASP energy (eV/atom) = -1.067
- ΔE_f (eV/atom) = 0.159

=====

> The highest VASP energy belongs to which entry?

NaMg4Hg12

=====

> Number 1 is which compound?

NaMgHg